Cs2SmTmSe4 PBE relaxed; energy = -4.82 eV/atom; ΔE_f (raw) = -1.717 eV per atom; theoretical density = 5.61 Mg/m³; V = 33.3 A^3/atom; Fermi-level density of states = 0.000 states/eV per atom
1.0
-3.278 -2.404 -1.358
4.070 -6.126 1.022
-4.191 1.465 7.523
Tm Se Cs Sm
1 4 2 1
Direct
0.000 0.000 0.000 Tm
0.000 0.264 0.813 Se
0.500 0.221 0.184 Se
0.500 0.779 0.816 Se
0.000 0.736 0.187 Se
0.500 0.000 0.500 Cs
0.000 0.500 0.500 Cs
0.500 0.500 0.000 Sm